Entry 1:
! MgMnCu2 (PBE, optimized geometry); values from VASP
! - Symmetry: Cm, No. 8
! - ΔH_f (0 K): 0.38 eV per formula unit
&SYSTEM
  ibrav = 0, nat = 4, ntyp = 3
/
ATOMIC_SPECIES
Mg 24.30 Mg.upf
Cu 63.55 Cu.upf
Mn 54.94 Mn.upf
ATOMIC_POSITIONS angstrom
Mg 4.964 1.559 2.357
Cu 0.109 0.034 0.084
Cu 7.385 2.319 3.276
Mn 2.580 0.810 0.943
CELL_PARAMETERS angstrom
4.855 -0.031 0.111
3.966 2.801 0.111
1.205 0.378 4.218

Entry 2:
! MgMnCu (PBE, optimized geometry); values from VASP
! - Excess energy over the best structure of this formula in the dataset: 82.2 meV per atom
! - Symmetry: Cm, No. 8
! - ΔH_f (0 K): 0.53 eV per formula unit
&SYSTEM
  ibrav = 0, nat = 12, ntyp = 3
/
ATOMIC_SPECIES
Cu 63.55 Cu.upf
Mn 54.94 Mn.upf
Mg 24.30 Mg.upf
ATOMIC_POSITIONS angstrom
Cu 3.687 2.109 4.207
Cu 0.098 0.000 3.457
Cu -0.132 2.109 8.019
Cu 3.457 0.000 8.769
Mn 0.900 0.000 7.156
Mn 2.367 2.109 7.942
Mn 2.597 0.000 3.380
Mn 1.130 2.109 2.594
Mg 3.710 2.109 1.541
Mg 1.103 2.109 5.292
Mg 3.481 0.000 6.103
Mg 1.332 0.000 0.730
CELL_PARAMETERS angstrom
4.987 0.000 0.506
0.000 4.219 0.000
-0.460 0.000 9.124

Entry 3:
! Mg2MnCu (PBE, optimized geometry); values from VASP
! - Excess energy over the best structure of this formula in the dataset: 111.9 meV per atom
! - Symmetry: R-3m, No. 166
! - ΔH_f (0 K): 0.85 eV per formula unit
&SYSTEM
  ibrav = 0, nat = 4, ntyp = 3
/
ATOMIC_SPECIES
Mg 24.30 Mg.upf
Cu 63.55 Cu.upf
Mn 54.94 Mn.upf
ATOMIC_POSITIONS angstrom
Mg -0.006 0.017 0.078
Mg -1.051 2.935 13.214
Cu -1.585 4.428 19.938
Mn -0.528 1.476 6.646
CELL_PARAMETERS angstrom
-0.776 3.603 8.492
-2.116 1.065 8.950
0.779 1.236 9.142

Entry 4:
! MgMnCu2 (PBE, optimized geometry); values from VASP
! - Symmetry: F-43m, No. 216
! - ΔH_f (0 K): 0.50 eV per formula unit
&SYSTEM
  ibrav = 0, nat = 4, ntyp = 3
/
ATOMIC_SPECIES
Cu 63.55 Cu.upf
Mg 24.30 Mg.upf
Mn 54.94 Mn.upf
ATOMIC_POSITIONS angstrom
Cu 0.000 0.000 0.000
Cu 1.240 -1.979 1.201
Mg 2.479 -3.959 2.401
Mn 3.719 -5.938 3.602
CELL_PARAMETERS angstrom
-0.530 -3.622 2.233
2.721 -3.270 -0.542
2.767 -1.025 3.112